1.
DFT (GGA-PBEsol) results for a relaxed SrReNi3 crystal.

Cell: 4.474 4.474 4.474 Å, 90.00 90.00 90.00°
Last column: magnetic moment on the atom in μB.
Element x y z (fractional)
Ni: 0.000 0.000 0.500  0.35
Re: 0.500 0.500 0.500  2.61
Ni: 0.500 0.000 0.000  0.35
Sr: 0.000 0.000 0.000  -0.05
Ni: 0.000 0.500 0.000  0.35

total energy	-21.297	eV/f.u.
DOS(E_F)	0.93	states/eV/atom

2.
DFT (GGA-PBEsol) results for a relaxed Sr2ReNi crystal.

Cell: 3.327 3.327 8.920 Å, 90.00 90.00 90.00°
Last column: magnetic moment on the atom in μB.
Element x y z (fractional)
Re: 0.500 0.500 0.666  0.56
Ni: 0.000 0.000 0.578  0.40
Sr: 0.500 0.500 0.333  0.01
Sr: 0.000 0.000 0.922  0.01

total energy	-20.764	eV/f.u.
DOS(E_F)	1.52	states/eV/atom

3.
DFT (GGA-PBEsol) results for a relaxed Sr2ReNi crystal.

Cell: 4.953 4.953 4.953 Å, 60.00 60.00 60.00°
Last column: magnetic moment on the atom in μB.
Element x y z (fractional)
Ni: 0.500 0.500 0.500  0.73
Re: 0.250 0.250 0.250  1.70
Sr: 0.000 0.000 0.000  0.09
Sr: 0.750 0.750 0.750  -0.03

total energy	-18.699	eV/f.u.
DOS(E_F)	0.66	states/eV/atom

4.
DFT (GGA-PBEsol) results for a relaxed Ta2ReNi crystal.

Cell: 2.752 4.532 4.928 Å, 90.00 96.71 90.00°
Element x y z (fractional)
Re: 0.344 0.500 0.782
Ta: 0.764 0.500 0.287
Ta: 0.008 0.000 0.967
Ni: 0.383 0.000 0.464

total energy	-44.826	eV/f.u.
DOS(E_F)	0.87	states/eV/atom

5.
DFT (GGA-PBEsol) results for a relaxed TaReNi2 crystal.

Cell: 3.125 3.125 5.430 Å, 90.00 90.00 90.00°
Element x y z (fractional)
Ni: 0.000 0.000 0.014
Re: 0.000 0.000 0.474
Ni: 0.500 0.500 0.244
Ta: 0.500 0.500 0.768

total energy	-38.626	eV/f.u.
DOS(E_F)	0.95	states/eV/atom

6.
DFT (GGA-PBEsol) results for a relaxed TaReNi2 crystal.

Cell: 3.181 3.181 5.228 Å, 90.00 90.00 90.00°
Element x y z (fractional)
Ni: 0.000 0.000 0.753
Ni: 0.000 0.000 0.247
Ta: 0.500 0.500 0.500
Re: 0.500 0.500 0.000

total energy	-38.150	eV/f.u.
DOS(E_F)	1.00	states/eV/atom

7.
DFT (GGA-PBEsol) results for a relaxed Ta2ReNi crystal.

Cell: 4.395 4.395 4.395 Å, 60.00 60.00 60.00°
Element x y z (fractional)
Ni: 0.500 0.500 0.500
Re: 0.250 0.250 0.250
Ta: 0.000 0.000 0.000
Ta: 0.750 0.750 0.750

total energy	-44.386	eV/f.u.
DOS(E_F)	1.41	states/eV/atom

8.
DFT (GGA-PBEsol) results for a relaxed Ta2ReNi crystal.

Cell: 2.729 2.729 8.078 Å, 90.00 90.00 90.00°
Element x y z (fractional)
Ta: 0.000 0.000 0.770
Ta: 0.000 0.000 0.230
Ni: 0.500 0.500 0.000
Re: 0.500 0.500 0.500

total energy	-44.652	eV/f.u.
DOS(E_F)	0.86	states/eV/atom

9.
DFT (GGA-PBEsol) results for a relaxed Ta2ReNi crystal.

Cell: 2.711 2.711 8.436 Å, 90.00 90.00 104.33°
Element x y z (fractional)
Re: 0.500 0.500 0.272
Ta: 0.500 0.500 0.728
Ta: 0.000 0.000 0.009
Ni: 0.000 0.000 0.491

total energy	-44.705	eV/f.u.
DOS(E_F)	0.64	states/eV/atom

10.
DFT (GGA-PBEsol) results for a relaxed Ta2ReNi crystal.

Cell: 3.213 3.213 5.842 Å, 90.00 90.00 90.00°
Element x y z (fractional)
Ta: 0.500 0.500 0.279
Ni: 0.000 0.000 0.492
Ta: 0.000 0.000 0.985
Re: 0.500 0.500 0.744

total energy	-44.881	eV/f.u.
DOS(E_F)	0.94	states/eV/atom

11.
DFT (GGA-PBEsol) results for a relaxed Re2TcNi crystal.

Cell: 3.784 3.784 4.609 Å, 114.24 114.24 90.00°
Element x y z (fractional)
Re: 0.250 0.750 0.500
Ni: 0.500 0.500 0.000
Re: 0.750 0.250 0.500
Tc: 0.000 0.000 0.000

total energy	-43.984	eV/f.u.
DOS(E_F)	0.72	states/eV/atom

12.
DFT (GGA-PBEsol) results for a relaxed Re2TcNi crystal.

Cell: 2.687 2.687 7.472 Å, 90.00 90.00 90.00°
Element x y z (fractional)
Re: 0.000 0.000 0.987
Re: 0.500 0.500 0.254
Tc: 0.000 0.000 0.508
Ni: 0.500 0.500 0.751

total energy	-43.706	eV/f.u.
DOS(E_F)	0.98	states/eV/atom

13.
DFT (GGA-PBEsol) results for a relaxed ReTcNi2 crystal.

Cell: 2.565 3.765 5.101 Å, 90.00 90.00 90.00°
Element x y z (fractional)
Ni: 0.000 0.000 0.751
Ni: 0.000 0.000 0.249
Tc: 0.500 0.500 0.500
Re: 0.500 0.500 0.000

total energy	-36.720	eV/f.u.
DOS(E_F)	1.46	states/eV/atom

14.
DFT (GGA-PBEsol) results for a relaxed ReTc2Ni crystal.

Cell: 3.786 3.786 4.570 Å, 114.47 114.47 90.00°
Element x y z (fractional)
Re: 0.500 0.500 0.000
Tc: 0.750 0.250 0.500
Ni: 0.000 0.000 0.000
Tc: 0.250 0.750 0.500

total energy	-41.948	eV/f.u.
DOS(E_F)	0.84	states/eV/atom

15.
DFT (GGA-PBEsol) results for a relaxed ReTcNi2 crystal.

Cell: 2.595 4.182 4.517 Å, 90.00 89.99 90.00°
Element x y z (fractional)
Ni: 0.876 0.000 0.972
Ni: 0.875 0.500 0.277
Tc: 0.375 0.500 0.791
Re: 0.375 0.000 0.460

total energy	-37.090	eV/f.u.
DOS(E_F)	0.99	states/eV/atom

16.
DFT (GGA-PBEsol) results for a relaxed ReTcNi2 crystal.

Cell: 4.117 4.117 4.117 Å, 60.00 60.00 60.00°
Element x y z (fractional)
Tc: 0.500 0.500 0.500
Ni: 0.750 0.750 0.750
Re: 0.000 0.000 0.000
Ni: 0.250 0.250 0.250

total energy	-35.727	eV/f.u.
DOS(E_F)	1.78	states/eV/atom